Compound: K10Ag2O3
Source: Alexandria via LeMat-Bulk
Functional: PBE
Structure: relaxed

Calculated values
Formation energy without anion corrections, eV per atom: -0.59

Lattice parameters (Å, degrees): 8.0360 10.9176 13.2293 111.43 107.68 90.00
With the nearest neighbours (Å) after each atom.
Sites, in units of the cell vectors:
K: 0.6439 0.9792 0.7819  2 O 2.64-2.67
K: 0.1380 0.9792 0.7819  2 O 2.64-2.67
K: 0.3561 0.0208 0.2181  2 O 2.64-2.67
K: 0.8620 0.0208 0.2181  2 O 2.64-2.67
K: 0.6239 0.5278 0.7088  1 O 2.56
K: 0.0849 0.5278 0.7088  1 O 2.56
K: 0.3761 0.4722 0.2912  1 O 2.56
K: 0.9151 0.4722 0.2912  1 O 2.56
K: 0.9763 0.8218 0.9526  3 O 2.70-2.90
K: 0.0237 0.1782 0.0474  3 O 2.70-2.90
K: 0.8627 0.2544 0.7254  2 O 2.63-2.86
K: 0.1373 0.7456 0.2746  2 O 2.63-2.86
K: 0.7678 0.7445 0.5356  1 O 2.54
K: 0.2322 0.2555 0.4644  1 O 2.54
K: 0.4818 0.8349 0.9636  2 O 2.61
K: 0.5182 0.1651 0.0364  2 O 2.61
K: 0.7896 0.5000 0.0000  2 O 2.66
K: 0.2104 0.5000 0.0000  2 O 2.66
K: 0.5000 0.0000 0.5000  2 O 2.77
K: 0.0000 0.0000 0.5000  2 O 2.77
Ag: 0.7211 0.2998 0.4422  11 K 3.79-4.14
Ag: 0.2789 0.7002 0.5578  11 K 3.79-4.14
Ag: 0.6185 0.7336 0.2370  12 K 3.72-4.04
Ag: 0.3815 0.2664 0.7630  12 K 3.72-4.04
O: 0.9257 0.5348 0.8513  5 K 2.56-2.86
O: 0.0743 0.4652 0.1487  5 K 2.56-2.86
O: 0.8246 0.9940 0.6491  6 K 2.54-2.77
O: 0.1754 0.0060 0.3509  6 K 2.54-2.77
O: 0.7492 0.0000 0.0000  6 K 2.61-2.70
O: 0.2508 0.0000 0.0000  6 K 2.61-2.70

---

Compound: SrLa2Pt
Source: Alexandria via LeMat-Bulk
Functional: PBE
Structure: relaxed

Calculated values
Formation enthalpy at 0 K, kJ/mol of atoms: -6
E above lowest polymorph, meV per atom: 511.4

Lattice parameters (Å, degrees): 5.7931 6.4898 3.6975 76.43 83.53 114.47
With the nearest neighbours (Å) after each atom.
Sites, in units of the cell vectors:
La: 0.0000 0.0000 0.0000  4 La 3.26-3.61, 2 Pt 3.34, 2 Sr 3.34
La: 0.5000 0.0000 0.5000  4 La 3.26-3.61, 2 Sr 3.34, 2 Pt 3.34
Pt: 0.0000 0.5000 0.5000  4 Sr 3.26-3.61, 4 La 3.34
Sr: 0.5000 0.5000 0.0000  4 Pt 3.26-3.61, 4 La 3.34

---

Compound: VCdBr4
Source: Alexandria via LeMat-Bulk
Functional: PBE
Structure: relaxed

Calculated values
Formation energy without anion corrections, eV per atom: -0.83

Lattice parameters (Å, degrees): 3.9337 7.5846 6.9189 110.99 90.00 105.03
With the nearest neighbours (Å) after each atom.
Sites, in units of the cell vectors:
V: 0.5000 0.0000 0.5000  6 Br 2.64-2.66
Cd: 0.0000 0.0000 0.0000  6 Br 2.81-2.83
Br: 0.1075 0.2151 0.4350  2 V 2.66, 1 Cd 2.83
Br: 0.8925 0.7849 0.5650  2 V 2.66, 1 Cd 2.83
Br: 0.6119 0.2239 0.8996  1 V 2.64, 2 Cd 2.81
Br: 0.3881 0.7761 0.1004  1 V 2.64, 2 Cd 2.81

---

> Number 2 is which compound?

SrLa2Pt

---

> Which formula does entry 2 have?

SrLa2Pt